No. 1
A PBEsol-optimized structure of TiSn3S, computed with SCAN.

- D(E_F): 3.04 states/eV per cell
- SG: No. 221
- Calculated density: 5.5 Mg/m³
- Formation energy without anion corrections: 0.63 eV/atom
- Magnetization: 0.429 μB/atom

Structure (POSCAR):
```
TiSn3S
1.0
5.1018 0.0000 0.0000
0.0000 5.1018 0.0000
0.0000 0.0000 5.1018
Ti Sn S
1 3 1
Direct
0.0000 0.0000 0.0000
0.0000 0.5000 0.5000
0.5000 0.0000 0.5000
0.5000 0.5000 0.0000
0.5000 0.5000 0.5000
```

=====

No. 2
A PBEsol-optimized structure of TlSn2S2, computed with SCAN.

- D(E_F): 1.17 states/eV per cell
- SG: No. 139
- Calculated density: 6.3 Mg/m³
- Formation energy without anion corrections: -0.18 eV/atom
- Magnetization: 0.000 μB/atom

Structure (POSCAR):
```
TlSn2S2
1.0
-2.5951 2.5951 4.9820
2.5951 -2.5951 4.9820
2.5951 2.5951 -4.9820
Tl Sn S
1 2 2
Direct
0.0000 0.0000 0.0000
0.3414 0.3414 0.0000
0.6586 0.6586 0.0000
0.2500 0.7500 0.5000
0.7500 0.2500 0.5000
```

=====

No. 3
A PBEsol-optimized structure of Tl2SnS, computed with SCAN.

- D(E_F): 3.14 states/eV per cell
- SG: No. 225
- Calculated density: 9.4 Mg/m³
- Formation energy without anion corrections: 0.17 eV/atom
- Magnetization: 0.000 μB/atom

Structure (POSCAR):
```
Tl2SnS
1.0
0.0000 3.6750 3.6750
3.6750 0.0000 3.6750
3.6750 3.6750 0.0000
Tl Sn S
2 1 1
Direct
0.2500 0.2500 0.2500
0.7500 0.7500 0.7500
0.0000 0.0000 0.0000
0.5000 0.5000 0.5000
```

=====

No. 4
A PBEsol-optimized structure of Y2SnS2, computed with SCAN.

- D(E_F): 1.62 states/eV per cell
- SG: No. 139
- Calculated density: 4.6 Mg/m³
- Formation energy without anion corrections: -1.37 eV/atom
- Magnetization: 0.188 μB/atom

Structure (POSCAR):
```
Y2SnS2
1.0
-2.2562 2.2562 6.4265
2.2562 -2.2562 6.4265
2.2562 2.2562 -6.4265
Y Sn S
2 1 2
Direct
0.1437 0.1437 0.0000
0.8563 0.8563 0.0000
0.5000 0.5000 0.0000
0.2500 0.7500 0.5000
0.7500 0.2500 0.5000
```

=====

No. 5
A PBEsol-optimized structure of SrTa3S, computed with SCAN.

- D(E_F): 5.73 states/eV per cell
- SG: No. 221
- Calculated density: 10.6 Mg/m³
- Formation energy without anion corrections: 0.54 eV/atom
- Magnetization: 0.206 μB/atom

Structure (POSCAR):
```
SrTa3S
1.0
4.6927 0.0000 0.0000
0.0000 4.6927 0.0000
0.0000 0.0000 4.6927
Sr Ta S
1 3 1
Direct
0.0000 0.0000 0.0000
0.0000 0.5000 0.5000
0.5000 0.0000 0.5000
0.5000 0.5000 0.0000
0.5000 0.5000 0.5000
```

=====

No. 6
A PBEsol-optimized structure of SrTb2S4, computed with SCAN.

- D(E_F): 0.00 states/eV per cell
- SG: No. 62
- Calculated density: 5.4 Mg/m³
- Formation energy without anion corrections: -2.42 eV/atom
- Magnetization: 0.000 μB/atom

Structure (POSCAR):
```
SrTb2S4
1.0
11.6273 0.0000 0.0000
0.0000 3.9822 0.0000
0.0000 0.0000 14.2514
Sr Tb S
4 8 16
Direct
0.2501 0.2500 0.1598
0.2499 0.7500 0.6598
0.7501 0.2500 0.3402
0.7499 0.7500 0.8402
0.0722 0.2500 0.8958
0.0850 0.2500 0.3948
0.4150 0.7500 0.8948
0.4278 0.7500 0.3958
0.5722 0.2500 0.6042
0.5850 0.2500 0.1052
0.9150 0.7500 0.6052
0.9278 0.7500 0.1042
0.0095 0.7500 0.7826
0.0758 0.2500 0.5837
0.1404 0.7500 0.0192
0.2159 0.7500 0.3183
0.2841 0.2500 0.8183
0.3596 0.2500 0.5192
0.4242 0.7500 0.0837
0.4905 0.2500 0.2826
0.5095 0.7500 0.7174
0.5758 0.2500 0.9163
0.6404 0.7500 0.4808
0.7159 0.7500 0.1817
0.7841 0.2500 0.6817
0.8596 0.2500 0.9808
0.9242 0.7500 0.4163
0.9905 0.2500 0.2174
```

=====

No. 7
A PBEsol-optimized structure of SrTm2S4, computed with SCAN.

- D(E_F): 0.00 states/eV per cell
- SG: No. 62
- Calculated density: 5.7 Mg/m³
- Formation energy without anion corrections: -2.43 eV/atom
- Magnetization: 0.000 μB/atom

Structure (POSCAR):
```
SrTm2S4
1.0
11.7572 0.0000 0.0000
0.0000 3.8979 0.0000
0.0000 0.0000 14.0426
Sr Tm S
4 8 16
Direct
0.2418 0.2500 0.1630
0.2582 0.7500 0.6630
0.7418 0.2500 0.3370
0.7582 0.7500 0.8370
0.0672 0.2500 0.3906
0.0805 0.2500 0.8998
0.4195 0.7500 0.3998
0.4328 0.7500 0.8906
0.5672 0.2500 0.1094
0.5805 0.2500 0.6002
0.9195 0.7500 0.1002
0.9328 0.7500 0.6094
0.0231 0.7500 0.7837
0.0859 0.2500 0.5787
0.1299 0.7500 0.0265
0.2071 0.7500 0.3281
0.2929 0.2500 0.8281
0.3701 0.2500 0.5265
0.4141 0.7500 0.0787
0.4769 0.2500 0.2837
0.5231 0.7500 0.7163
0.5859 0.2500 0.9213
0.6299 0.7500 0.4735
0.7071 0.7500 0.1719
0.7929 0.2500 0.6719
0.8701 0.2500 0.9735
0.9141 0.7500 0.4213
0.9769 0.2500 0.2163
```

=====

No. 8
A PBEsol-optimized structure of SrY2S4, computed with SCAN.

- D(E_F): 0.00 states/eV per cell
- SG: No. 62
- Calculated density: 4.0 Mg/m³
- Formation energy without anion corrections: -2.46 eV/atom
- Magnetization: 0.000 μB/atom

Structure (POSCAR):
```
SrY2S4
1.0
11.7786 0.0000 0.0000
0.0000 3.9526 0.0000
0.0000 0.0000 14.1988
Sr Y S
4 8 16
Direct
0.2442 0.2500 0.1614
0.2558 0.7500 0.6614
0.7442 0.2500 0.3386
0.7558 0.7500 0.8386
0.0729 0.2500 0.3915
0.0784 0.2500 0.8984
0.4216 0.7500 0.3984
0.4271 0.7500 0.8915
0.5729 0.2500 0.1085
0.5784 0.2500 0.6016
0.9216 0.7500 0.1016
0.9271 0.7500 0.6085
0.0187 0.7500 0.7835
0.0833 0.2500 0.5806
0.1337 0.7500 0.0247
0.2098 0.7500 0.3228
0.2902 0.2500 0.8228
0.3663 0.2500 0.5247
0.4167 0.7500 0.0806
0.4813 0.2500 0.2835
0.5187 0.7500 0.7165
0.5833 0.2500 0.9194
0.6337 0.7500 0.4753
0.7098 0.7500 0.1772
0.7902 0.2500 0.6772
0.8663 0.2500 0.9753
0.9167 0.7500 0.4194
0.9813 0.2500 0.2165
```

=====

No. 9
A PBEsol-optimized structure of SrY2S4, computed with SCAN.

- D(E_F): 0.00 states/eV per cell
- SG: No. 122
- Calculated density: 4.4 Mg/m³
- Formation energy without anion corrections: -2.38 eV/atom
- Magnetization: 0.000 μB/atom

Structure (POSCAR):
```
SrY2S4
1.0
-4.1977 4.1977 4.1794
4.1977 -4.1977 4.1794
4.1977 4.1977 -4.1794
Sr Y S
2 4 8
Direct
0.0000 0.0000 0.0000
0.7500 0.2500 0.5000
0.2508 0.6250 0.1258
0.3750 0.5008 0.6258
0.4992 0.1250 0.8742
0.8750 0.7492 0.3742
0.1383 0.7334 0.7470
0.1413 0.2364 0.7530
0.2666 0.0136 0.4048
0.4834 0.3883 0.2470
0.6087 0.8617 0.5952
0.6117 0.8587 0.0952
0.7636 0.5166 0.9048
0.9864 0.3913 0.2530
```

=====

No. 10
A PBEsol-optimized structure of Sr2ZnS3, computed with SCAN.

- D(E_F): 0.00 states/eV per cell
- SG: No. 62
- Calculated density: 4.1 Mg/m³
- Formation energy without anion corrections: -1.91 eV/atom
- Magnetization: 0.000 μB/atom

Structure (POSCAR):
```
Sr2ZnS3
1.0
8.3807 0.0000 0.0000
0.0000 4.0307 0.0000
0.0000 0.0000 16.2251
Sr Zn S
8 4 12
Direct
0.0794 0.2500 0.2146
0.2427 0.2500 0.9583
0.2573 0.7500 0.4583
0.4206 0.7500 0.7146
0.5794 0.2500 0.2854
0.7427 0.2500 0.5417
0.7573 0.7500 0.0417
0.9206 0.7500 0.7854
0.1282 0.2500 0.6339
0.3718 0.7500 0.1339
0.6282 0.2500 0.8661
0.8718 0.7500 0.3661
0.0067 0.2500 0.4014
0.1234 0.7500 0.0719
0.1832 0.2500 0.7748
0.3168 0.7500 0.2748
0.3766 0.2500 0.5719
0.4933 0.7500 0.9014
0.5067 0.2500 0.0986
0.6234 0.7500 0.4281
0.6832 0.2500 0.7252
0.8168 0.7500 0.2252
0.8766 0.2500 0.9281
0.9933 0.7500 0.5986
```

=====

No. 11
A PBEsol-optimized structure of SrZnS2, computed with SCAN.

- D(E_F): 4.91 states/eV per cell
- SG: No. 166
- Calculated density: 3.6 Mg/m³
- Formation energy without anion corrections: -0.47 eV/atom
- Magnetization: 0.002 μB/atom

Structure (POSCAR):
```
SrZnS2
1.0
1.9129 1.1044 7.9510
-1.9129 1.1044 7.9510
0.0000 -2.2088 7.9510
Sr Zn S
1 1 2
Direct
0.0000 0.0000 0.0000
0.5000 0.5000 0.5000
0.1145 0.1145 0.1145
0.8855 0.8855 0.8855
```

=====

No. 12
A PBEsol-optimized structure of Ta2S, computed with SCAN.

- D(E_F): 12.20 states/eV per cell
- SG: No. 57
- Calculated density: 12.7 Mg/m³
- Formation energy without anion corrections: -0.63 eV/atom
- Magnetization: 0.000 μB/atom

Structure (POSCAR):
```
Ta2S
1.0
7.3378 0.0000 0.0000
0.0000 5.5512 0.0000
0.0000 0.0000 15.1251
Ta S
24 12
Direct
0.0086 0.1329 0.2500
0.0086 0.3671 0.7500
0.0960 0.6051 0.5899
0.0960 0.6051 0.9101
0.0960 0.8949 0.0899
0.0960 0.8949 0.4101
0.2830 0.1047 0.6539
0.2830 0.1047 0.8461
0.2830 0.3953 0.1539
0.2830 0.3953 0.3461
0.3528 0.6269 0.7500
0.3528 0.8731 0.2500
0.6472 0.1269 0.7500
0.6472 0.3731 0.2500
0.7170 0.6047 0.6539
0.7170 0.6047 0.8461
0.7170 0.8953 0.1539
0.7170 0.8953 0.3461
0.9040 0.1051 0.5899
0.9040 0.1051 0.9101
0.9040 0.3949 0.0899
0.9040 0.3949 0.4101
0.9914 0.6329 0.2500
0.9914 0.8671 0.7500
0.1800 0.2500 0.0000
0.1800 0.2500 0.5000
0.4136 0.7321 0.5965
0.4136 0.7321 0.9035
0.4136 0.7679 0.0965
0.4136 0.7679 0.4035
0.5864 0.2321 0.5965
0.5864 0.2321 0.9035
0.5864 0.2679 0.0965
0.5864 0.2679 0.4035
0.8200 0.7500 0.0000
0.8200 0.7500 0.5000
```

=====

No. 13
A PBEsol-optimized structure of TaTc3S, computed with SCAN.

- D(E_F): 6.48 states/eV per cell
- SG: No. 221
- Calculated density: 8.2 Mg/m³
- Formation energy without anion corrections: 2.08 eV/atom
- Magnetization: 1.243 μB/atom

Structure (POSCAR):
```
TaTc3S
1.0
4.6819 0.0000 0.0000
0.0000 4.6819 0.0000
0.0000 0.0000 4.6819
Ta Tc S
1 3 1
Direct
0.0000 0.0000 0.0000
0.0000 0.0000 0.5000
0.0000 0.5000 0.0000
0.5000 0.0000 0.0000
0.5000 0.5000 0.5000
```

=====

No. 14
A PBEsol-optimized structure of TaTeS2, computed with SCAN.

- D(E_F): 7.89 states/eV per cell
- SG: No. 122
- Calculated density: 6.0 Mg/m³
- Formation energy without anion corrections: -0.01 eV/atom
- Magnetization: 0.000 μB/atom

Structure (POSCAR):
```
TaTeS2
1.0
-3.2734 3.2734 4.7832
3.2734 -3.2734 4.7832
3.2734 3.2734 -4.7832
Ta Te S
2 2 4
Direct
0.0000 0.0000 0.0000
0.7500 0.2500 0.5000
0.2500 0.7500 0.5000
0.5000 0.5000 0.0000
0.0419 0.6250 0.9169
0.3750 0.2919 0.4169
0.7081 0.1250 0.0831
0.8750 0.9581 0.5831
```

=====

No. 15
A PBEsol-optimized structure of Ta20Te5S3, computed with SCAN.

- D(E_F): 25.77 states/eV per cell
- SG: No. 15
- Calculated density: 13.3 Mg/m³
- Formation energy without anion corrections: -0.31 eV/atom
- Magnetization: 0.000 μB/atom

Structure (POSCAR):
```
Ta20Te5S3
1.0
7.7316 -7.0969 0.0000
7.7316 7.0969 0.0000
-3.2556 0.0000 9.8907
Ta Te S
40 10 6
Direct
0.0000 0.5000 0.5000
0.0241 0.8139 0.2729
0.0400 0.1283 0.0099
0.0650 0.9350 0.7500
0.0697 0.6451 0.8039
0.0717 0.3940 0.9529
0.0981 0.7475 0.5272
0.1283 0.0400 0.5099
0.1291 0.5545 0.2784
0.1367 0.3488 0.6696
0.1439 0.2484 0.3565
0.1861 0.9759 0.2271
0.1908 0.6978 0.0940
0.2484 0.1439 0.8565
0.2525 0.9019 0.9728
0.3022 0.8092 0.4060
0.3488 0.1367 0.1696
0.3549 0.9303 0.6961
0.3940 0.0717 0.4529
0.4455 0.8709 0.2216
0.5000 0.0000 0.0000
0.5545 0.1291 0.7784
0.6060 0.9283 0.5471
0.6451 0.0697 0.3039
0.6512 0.8633 0.8304
0.6978 0.1908 0.5940
0.7475 0.0981 0.0272
0.7516 0.8561 0.1435
0.8092 0.3022 0.9060
0.8139 0.0241 0.7729
0.8561 0.7516 0.6435
0.8633 0.6512 0.3304
0.8709 0.4455 0.7216
0.8717 0.9600 0.4901
0.9019 0.2525 0.4728
0.9283 0.6060 0.0471
0.9303 0.3549 0.1961
0.9350 0.0650 0.2500
0.9600 0.8717 0.9901
0.9759 0.1861 0.7271
0.2685 0.4886 0.5256
0.2909 0.4921 0.9014
0.4063 0.5937 0.2500
0.4886 0.2685 0.0256
0.4921 0.2909 0.4014
0.5079 0.7091 0.5986
0.5114 0.7315 0.9744
0.5937 0.4063 0.7500
0.7091 0.5079 0.0986
0.7315 0.5114 0.4744
0.1802 0.3215 0.1594
0.2437 0.7563 0.7500
0.3215 0.1802 0.6594
0.6785 0.8198 0.3406
0.7563 0.2437 0.2500
0.8198 0.6785 0.8406
```

=====

No. 16
A PBEsol-optimized structure of TaTl6VS8, computed with SCAN.

- D(E_F): 0.00 states/eV per cell
- SG: No. 215
- Calculated density: 6.8 Mg/m³
- Formation energy without anion corrections: -0.72 eV/atom
- Magnetization: 0.000 μB/atom

Structure (POSCAR):
```
TaTl6VS8
1.0
7.4884 0.0000 0.0000
0.0000 7.4884 0.0000
0.0000 0.0000 7.4884
Ta Tl V S
1 6 1 8
Direct
0.0000 0.0000 0.0000
0.0000 0.0000 0.5000
0.0000 0.5000 0.0000
0.0000 0.5000 0.5000
0.5000 0.0000 0.0000
0.5000 0.0000 0.5000
0.5000 0.5000 0.0000
0.5000 0.5000 0.5000
0.1751 0.1751 0.1751
0.1751 0.8249 0.8249
0.3342 0.3342 0.6658
0.3342 0.6658 0.3342
0.6658 0.3342 0.3342
0.6658 0.6658 0.6658
0.8249 0.1751 0.8249
0.8249 0.8249 0.1751
```

=====

No. 17
A PBEsol-optimized structure of YTaS3, computed with SCAN.

- D(E_F): 2.78 states/eV per cell
- SG: No. 221
- Calculated density: 4.9 Mg/m³
- Formation energy without anion corrections: 0.21 eV/atom
- Magnetization: 0.400 μB/atom

Structure (POSCAR):
```
YTaS3
1.0
4.9973 0.0000 0.0000
0.0000 4.9973 0.0000
0.0000 0.0000 4.9973
Y Ta S
1 1 3
Direct
0.0000 0.0000 0.0000
0.5000 0.5000 0.5000
0.0000 0.0000 0.5000
0.0000 0.5000 0.0000
0.5000 0.0000 0.0000
```

=====

No. 18
A PBEsol-optimized structure of YTaS2, computed with SCAN.

- D(E_F): 2.90 states/eV per cell
- SG: No. 166
- Calculated density: 6.4 Mg/m³
- Formation energy without anion corrections: -0.80 eV/atom
- Magnetization: 0.000 μB/atom

Structure (POSCAR):
```
YTaS2
1.0
1.7592 1.0157 8.1239
-1.7592 1.0157 8.1239
0.0000 -2.0314 8.1239
Y Ta S
1 1 2
Direct
0.0000 0.0000 0.0000
0.5000 0.5000 0.5000
0.4034 0.4034 0.4034
0.5966 0.5966 0.5966
```